Record 1
Entry from Alexandria via LeMat-Bulk: Sm3Er4Tl after structural relaxation (PBE).

abc: 4.113 4.113 14.520
angles: 90.00 90.00 90.00
Space group P4/mmm (No. 123)
Asymmetric unit:
Sm 0.000 0.000 0.000 (multiplicity 1)
Sm 0.000 0.000 0.252 (multiplicity 2)
Er 0.500 0.500 0.132 (multiplicity 2)
Er 0.500 0.500 0.388 (multiplicity 2)
Tl 0.000 0.000 0.500 (multiplicity 1)

Record 2
Entry from Alexandria via LeMat-Bulk: SmEr2Tl after structural relaxation (PBE).

abc: 4.669 4.805 11.136
angles: 90.00 102.01 90.00
Space group P2_1/m (No. 11)
Asymmetric unit:
Sm 0.192 0.250 0.385 (multiplicity 2)
Er 0.057 0.750 0.113 (multiplicity 2)
Er 0.436 0.750 0.871 (multiplicity 2)
Tl 0.339 0.250 0.674 (multiplicity 2)

Record 3
Entry from Alexandria via LeMat-Bulk: SmEr2Tl after structural relaxation (PBE).

abc: 4.876 4.876 4.820
angles: 90.00 90.00 90.00
Space group P4/mmm (No. 123)
Asymmetric unit:
Sm 0.000 0.000 0.000 (multiplicity 1)
Er 0.000 0.500 0.500 (multiplicity 2)
Tl 0.500 0.500 0.000 (multiplicity 1)

Record 4
Entry from Alexandria via LeMat-Bulk: SmEr2Tl4 after structural relaxation (PBE).

abc: 7.584 7.584 7.328
angles: 90.00 90.00 90.00
Space group I4/mmm (No. 139)
Asymmetric unit:
Sm 0.000 0.000 0.000 (multiplicity 2)
Er 0.000 0.500 0.000 (multiplicity 4)
Tl 0.250 0.250 0.250 (multiplicity 8)

Number 1: final energy -4.32 eV per atom, E above lowest polymorph 0.100 eV per atom, ΔH_f (0 K) 23.0 meV/atom. Number 2: final energy -4.21 eV per atom, E above lowest polymorph 0.021 eV per atom, ΔH_f (0 K) -155.3 meV/atom. Number 3: final energy -4.23 eV per atom, E above lowest polymorph 0.000 eV per atom, ΔH_f (0 K) -176.4 meV/atom. Number 4: final energy -3.54 eV per atom, E above lowest polymorph 0.000 eV per atom, ΔH_f (0 K) -213.2 meV/atom.